(1)
A relaxed structure of PrScSeO2, computed with PBE-GGA.

The calculation puts the formation energy from raw total energies at -2.98 eV/atom. As for the total DFT energy (no corrections): -0.2898 Ha/atom.

a b c (Å): 3.9867 3.9867 6.1163
angles (deg): 90.00 90.00 90.00
Closest atoms and distances in Å follow each position.
Fractional positions:
Sc 0.0000 0.0000 0.0216  4 O 2.09
O 0.0000 0.5000 0.9165  2 Sc 2.09
Pr 0.5000 0.5000 0.6911  4 O 2.42
O 0.5000 0.0000 0.9165  2 Sc 2.09
Se 0.0000 0.0000 0.4542  1 Sc 2.65

***

(2)
A relaxed structure of CeYN, computed with PBE-GGA.

The calculation puts the formation energy from raw total energies at -0.67 eV/atom. Its excess energy over the best structure of this formula in the dataset is 281 meV per atom. As for the total DFT energy (no corrections): -0.2783 Ha/atom.

a b c (Å): 7.3040 7.3040 7.4824
angles (deg): 127.70 127.70 75.35
Closest atoms and distances in Å follow each position.
Fractional positions:
N 0.7038 0.7038 0.4075  4 Ce 2.45-2.67, 2 Y 2.45
Ce 0.6292 0.6292 0.0000  4 N 2.45-2.67
Y 0.1250 0.3750 0.2500  2 N 2.45
N 0.9538 0.4538 0.9075  4 Ce 2.45-2.67, 2 Y 2.45
Y 0.1250 0.8750 0.7500  2 N 2.45
N 0.2962 0.2962 0.5925  4 Ce 2.45-2.67, 2 Y 2.45
N 0.5462 0.0462 0.0925  4 Ce 2.45-2.67, 2 Y 2.45
Y 0.1250 0.8750 0.2500  2 N 2.45
Ce 0.6208 0.1208 0.5000  4 N 2.45-2.67
Y 0.6250 0.8750 0.7500  2 N 2.45
Ce 0.3708 0.3708 0.0000  4 N 2.45-2.67
Ce 0.8792 0.3792 0.5000  4 N 2.45-2.67

***

(3)
A relaxed structure of Gd2AlIn, computed with PBE-GGA.

The formation energy comes out at -0.419 eV per atom. As for the total DFT energy (no corrections): -0.3337 Ha/atom.

a b c (Å): 4.3425 4.8613 4.8613
angles (deg): 90.00 90.00 90.00
Closest atoms and distances in Å follow each position.
Fractional positions:
In 0.5000 0.0000 0.0000  8 Gd 3.26, 4 Al 3.44
Gd 0.0000 0.0000 0.5000  4 Al 3.26, 4 In 3.26, 4 Gd 3.44
Gd 0.0000 0.5000 0.0000  4 In 3.26, 4 Al 3.26, 4 Gd 3.44
Al 0.5000 0.5000 0.5000  8 Gd 3.26, 4 In 3.44

***

(4)
A relaxed structure of Y2Cu3, computed with PBE-GGA.

The formation energy comes out at -0.208 eV per atom. As for the total DFT energy (no corrections): -0.1930 Ha/atom.

a b c (Å): 5.4345 5.4345 8.0549
angles (deg): 80.36 80.36 120.25
Closest atoms and distances in Å follow each position.
Fractional positions:
Cu 0.6766 0.1766 0.5000  4 Cu 2.50-2.55
Cu 0.9266 0.9266 0.0000  4 Cu 2.50-2.55
Cu 0.5969 0.4386 0.2498  4 Cu 2.50-2.72
Y 0.0272 0.8605 0.4003  8 Cu 2.91-3.24
Y 0.2608 0.4275 0.5997  8 Cu 2.91-3.24
Cu 0.1886 0.8469 0.7498  4 Cu 2.50-2.72
Y 0.6105 0.2772 0.9003  8 Cu 2.91-3.24
Cu 0.6884 0.8467 0.7502  4 Cu 2.50-2.72
Cu 0.5967 0.9384 0.2502  4 Cu 2.50-2.72
Y 0.1775 0.5108 0.0997  8 Cu 2.91-3.24

***

(5)
A relaxed structure of LiCa4Mn, computed with PBE-GGA.

The formation energy comes out at 0.620 eV per atom. As for the total DFT energy (no corrections): -0.0942 Ha/atom.

a b c (Å): 6.8611 6.8611 6.8611
angles (deg): 60.00 60.00 60.00
Closest atoms and distances in Å follow each position.
Fractional positions:
Ca 0.3746 0.8763 0.3746  6 Ca 3.42-3.44
Li 0.7500 0.7500 0.7500  12 Ca 4.02, 4 Mn 4.20
Mn 0.0000 0.0000 0.0000  12 Ca 4.02, 4 Li 4.20
Ca 0.3746 0.3746 0.8763  6 Ca 3.42-3.44
Ca 0.3746 0.3746 0.3746  6 Ca 3.42-3.44
Ca 0.8763 0.3746 0.3746  6 Ca 3.42-3.44

***

(6)
A relaxed structure of PdPbSe2S, computed with PBE-GGA.

The calculation puts the formation energy from raw total energies at 0.10 eV/atom. As for the total DFT energy (no corrections): -0.1434 Ha/atom.

a b c (Å): 5.1564 4.4758 5.1564
angles (deg): 90.00 90.00 90.00
Closest atoms and distances in Å follow each position.
Fractional positions:
Pb 0.5000 0.5000 0.5000  8 Se 3.41, 4 Pd 3.65
Se 0.0000 0.0000 0.5000  2 S 2.58
Pd 0.0000 0.5000 0.0000  2 S 2.24
S 0.0000 0.0000 0.0000  2 Pd 2.24
Se 0.5000 0.0000 0.0000  2 S 2.58